Density functional theory data (PBE) for PrHS after structural relaxation.

Properties
**Total moment**: 0.0 Bohr magnetons per cell
**Uncorrected energy**: -33.51 eV for the cell shown
**SG**: I4_1md
**Calculated volume**: 105 Å³ per cell

Unit cell a=3.919 b=3.919 c=7.393 alpha=105.37 beta=105.37 gamma=90.00
Element x y z (fractional)
Pr (0.582, 0.332, 0.164)
Pr (0.332, 0.582, 0.664)
H (0.417, 0.168, 0.835)
H (0.168, 0.417, 0.335)
S (0.999, 0.749, 0.998)
S (0.749, 0.999, 0.498)